The following is a DFT calculation (GGA-PBEsol) of a geometry-optimized Li2In3 structure.

formation energy from the elements	-0.19	eV per atom
final energy	-13.85	eV per formula unit
V	103	Å³ per cell
energy relative to the lowest polymorph listed for this composition	0	meV/atom

Cell and atoms, written as CIF:
```
data_Li2In3
_cell_length_a 4.6216
_cell_length_b 4.6216
_cell_length_c 5.5871
_cell_angle_alpha 90.00
_cell_angle_beta 90.00
_cell_angle_gamma 120.00
_symmetry_space_group_name_H-M 'P -3 m 1'
_symmetry_Int_Tables_number 164
_symmetry_space_group_name_Hall '-P 3 2"'
loop_
_atom_site_label
_atom_site_fract_x
_atom_site_fract_y
_atom_site_fract_z
Li1 0.3333 0.6667 0.3575
In1 0.0000 0.0000 0.5000
In2 0.3333 0.6667 0.8584
```

The following is a DFT calculation (GGA-PBEsol) of a geometry-optimized InBF4 structure.

final energy	-32.95	eV per formula unit
energy relative to the elements, uncorrected	-2.54	eV per atom
V	362	Å³ per cell

Cell and atoms, written as CIF:
```
data_InBF4
_cell_length_a 8.970
_cell_length_b 5.575
_cell_length_c 7.242
_cell_angle_alpha 90.00
_cell_angle_beta 90.00
_cell_angle_gamma 90.00
_symmetry_space_group_name_H-M 'P n m a'
_symmetry_Int_Tables_number 62
_symmetry_space_group_name_Hall '-P 2ac 2n'
loop_
_atom_site_label
_atom_site_fract_x
_atom_site_fract_y
_atom_site_fract_z
In1 0.186 0.250 0.167
B1 0.064 0.250 0.689
F1 0.076 0.750 0.396
F2 0.078 0.043 0.803
F3 0.180 0.250 0.557
```

The following is a DFT calculation (GGA-PBEsol) of a geometry-optimized SmErZn2 structure.

formation energy from the elements	-0.33	eV per atom
final energy	-14.49	eV per formula unit
V	349	Å³ per cell

Cell and atoms, written as CIF:
```
data_SmErZn2
_cell_length_a 7.040
_cell_length_b 7.040
_cell_length_c 7.040
_cell_angle_alpha 90.00
_cell_angle_beta 90.00
_cell_angle_gamma 90.00
_symmetry_space_group_name_H-M 'F m -3 m'
_symmetry_Int_Tables_number 225
_symmetry_space_group_name_Hall '-F 4 2 3'
loop_
_atom_site_label
_atom_site_fract_x
_atom_site_fract_y
_atom_site_fract_z
Sm1 0.000 0.000 0.000
Er1 0.000 0.000 0.500
Zn1 0.250 0.250 0.250
```

The following is a DFT calculation (GGA-PBEsol) of a geometry-optimized TlRhI2O structure.

final energy	-15.98	eV per formula unit
energy relative to the elements, uncorrected	0.71	eV per atom
V	139	Å³ per cell

Cell and atoms, written as CIF:
```
data_TlRhI2O
_cell_length_a 5.912
_cell_length_b 5.912
_cell_length_c 3.969
_cell_angle_alpha 90.00
_cell_angle_beta 90.00
_cell_angle_gamma 90.00
_symmetry_space_group_name_H-M 'P 4/m m m'
_symmetry_Int_Tables_number 123
_symmetry_space_group_name_Hall '-P 4 2'
loop_
_atom_site_label
_atom_site_fract_x
_atom_site_fract_y
_atom_site_fract_z
Tl1 0.000 0.000 0.000
Rh1 0.500 0.500 0.500
I1 0.000 0.500 0.000
O1 0.000 0.000 0.500
```

The following is a DFT calculation (GGA-PBEsol) of a geometry-optimized MgAg structure.

formation energy from the elements	-0.25	eV per atom
final energy	-5.52	eV per formula unit
V	35	Å³ per cell

Cell and atoms, written as CIF:
```
data_MgAg
_cell_length_a 3.281
_cell_length_b 3.281
_cell_length_c 3.281
_cell_angle_alpha 90.00
_cell_angle_beta 90.00
_cell_angle_gamma 90.00
_symmetry_space_group_name_H-M 'P m -3 m'
_symmetry_Int_Tables_number 221
_symmetry_space_group_name_Hall '-P 4 2 3'
loop_
_atom_site_label
_atom_site_fract_x
_atom_site_fract_y
_atom_site_fract_z
Mg1 0.000 0.000 0.000
Ag1 0.500 0.500 0.500
```

The following is a DFT calculation (GGA-PBEsol) of a geometry-optimized KAgPt3 structure.

formation energy from the elements	1.16	eV per atom
final energy	-19.56	eV per formula unit
V	118	Å³ per cell

Cell and atoms, written as CIF:
```
data_KAgPt3
_cell_length_a 4.911
_cell_length_b 4.911
_cell_length_c 4.911
_cell_angle_alpha 90.00
_cell_angle_beta 90.00
_cell_angle_gamma 90.00
_symmetry_space_group_name_H-M 'P m -3 m'
_symmetry_Int_Tables_number 221
_symmetry_space_group_name_Hall '-P 4 2 3'
loop_
_atom_site_label
_atom_site_fract_x
_atom_site_fract_y
_atom_site_fract_z
K1 0.000 0.000 0.000
Ag1 0.500 0.500 0.500
Pt1 0.000 0.500 0.500
```

The following is a DFT calculation (GGA-PBEsol) of a geometry-optimized LiCoSN2 structure.

final energy	-22.73	eV per formula unit
energy relative to the elements, uncorrected	1.68	eV per atom
V	52	Å³ per cell

Cell and atoms, written as CIF:
```
data_LiCoSN2
_cell_length_a 3.445
_cell_length_b 3.445
_cell_length_c 4.362
_cell_angle_alpha 90.00
_cell_angle_beta 90.00
_cell_angle_gamma 90.00
_symmetry_space_group_name_H-M 'P 4/m m m'
_symmetry_Int_Tables_number 123
_symmetry_space_group_name_Hall '-P 4 2'
loop_
_atom_site_label
_atom_site_fract_x
_atom_site_fract_y
_atom_site_fract_z
Li1 0.000 0.000 0.000
Co1 0.500 0.500 0.500
S1 0.000 0.000 0.500
N1 0.000 0.500 0.000
```

The following is a DFT calculation (GGA-PBEsol) of a geometry-optimized Ba2PrWO6 structure.

final energy	-82.50	eV per formula unit
energy relative to the elements, uncorrected	-2.77	eV per atom
V	629	Å³ per cell

Cell and atoms, written as CIF:
```
data_Ba2PrWO6
_cell_length_a 8.569
_cell_length_b 8.569
_cell_length_c 8.569
_cell_angle_alpha 90.00
_cell_angle_beta 90.00
_cell_angle_gamma 90.00
_symmetry_space_group_name_H-M 'F m -3 m'
_symmetry_Int_Tables_number 225
_symmetry_space_group_name_Hall '-F 4 2 3'
loop_
_atom_site_label
_atom_site_fract_x
_atom_site_fract_y
_atom_site_fract_z
Ba1 0.250 0.250 0.250
Pr1 0.000 0.000 0.000
W1 0.000 0.000 0.500
O1 0.000 0.000 0.272
```